The following is a GGA-PBE calculation of a relaxed structure of NdY3Er8, from Alexandria via LeMat-Bulk.

Properties
- density (g/cm3) = 7.2
- ΔH_f (0 K) (eV/atom) = 0.31
- D(E_F) (states/eV/f.u.) = 16.3

Lattice parameters (Å, degrees): 8.592 8.592 8.592 97.89 136.46 97.93
Atoms (fractional coordinates):
Er1 0.007 0.254 0.752
Er2 0.170 0.919 0.749
Er3 0.498 0.746 0.753
Er4 0.830 0.081 0.250
Er5 0.993 0.746 0.247
Er6 0.830 0.580 0.750
Er7 0.170 0.420 0.251
Er8 0.502 0.254 0.248
Y1 0.500 0.255 0.755
Y2 0.000 0.500 0.500
Y3 0.500 0.745 0.245
Nd1 0.000 0.000 0.000